i.
The following is a DFT calculation (GGA-PBE) of a relaxed structure of BaHfNp.

```
3
Lattice="0.0000 3.8623 3.8623 3.8623 0.0000 3.8623 3.8623 3.8623 0.0000" Properties=species:S:1:pos:R:3 pbc="T T T"
Ba 0.0000 0.0000 0.0000
Hf 1.9312 1.9312 1.9312
Np 3.8623 3.8623 3.8623
```

Properties
symmetry	F-43m, No. 216
theoretical density	8.0	g/cm3
calculated volume	38.411	A^3/atom

***

ii.
The following is a DFT calculation (GGA-PBE) of a relaxed structure of BaHfNp.

```
3
Lattice="0.0000 3.5350 3.5350 3.5350 0.0000 3.5350 3.5350 3.5350 0.0000" Properties=species:S:1:pos:R:3 pbc="T T T"
Ba 0.0000 0.0000 0.0000
Hf 5.3025 5.3025 5.3025
Np 1.7675 1.7675 1.7675
```

Properties
symmetry	F-43m, No. 216
theoretical density	10.4	g/cm3
calculated volume	29.449	A^3/atom

***

Stability, descending: i, ii

***

i.
The following is a DFT calculation (GGA-PBE) of a relaxed structure of BaHfPO.

```
8
Lattice="4.4056 0.0000 0.0000 0.0000 7.4118 0.0000 0.0000 0.0000 6.4178" Properties=species:S:1:pos:R:3 pbc="T T T"
Ba 0.0000 1.4696 0.0000
Ba 0.0000 5.9421 3.2089
Hf 2.2028 2.8839 3.5926
Hf 2.2028 4.5279 0.3837
P 0.0000 1.7178 3.1863
P 0.0000 5.6939 6.3952
O 2.2028 2.9000 5.6427
O 2.2028 4.5118 2.4339
```

Properties
symmetry	Pmc2_1, No. 26
theoretical density	5.7	g/cm3
calculated volume	26.195	A^3/atom

***

ii.
The following is a DFT calculation (GGA-PBE) of a relaxed structure of BaHfPO.

```
8
Lattice="4.4835 0.0000 0.0000 0.0000 4.4835 0.0000 0.0000 0.0000 9.4095" Properties=species:S:1:pos:R:3 pbc="T T T"
Ba 1.1209 3.3626 0.0000
Ba 3.3626 1.1209 0.0000
Hf 1.1209 1.1209 4.5762
Hf 3.3626 3.3626 4.8333
P 1.1209 1.1209 2.1835
P 3.3626 3.3626 7.2259
O 1.1209 3.3626 4.7047
O 3.3626 1.1209 4.7047
```

Properties
symmetry	P4/nmm, No. 129
theoretical density	6.4	g/cm3
calculated volume	23.643	A^3/atom

***

iii.
The following is a DFT calculation (GGA-PBE) of a relaxed structure of BaHfPO.

```
8
Lattice="4.5275 0.0000 0.0000 0.0000 4.5275 0.0000 0.0000 0.0000 10.2043" Properties=species:S:1:pos:R:3 pbc="T T T"
Ba 1.1319 1.1319 1.1747
Ba 3.3956 3.3956 9.0296
Hf 1.1319 3.3956 5.1022
Hf 3.3956 1.1319 5.1022
P 1.1319 1.1319 6.2963
P 3.3956 3.3956 3.9080
O 1.1319 3.3956 0.0000
O 3.3956 1.1319 0.0000
```

Properties
symmetry	P4/nmm, No. 129
theoretical density	5.8	g/cm3
calculated volume	26.146	A^3/atom

***

Stability, descending: i, iii, ii

***

i.
The following is a DFT calculation (GGA-PBE) of a relaxed structure of BaHfRe.

```
3
Lattice="0.0000 3.4244 3.4244 3.4244 0.0000 3.4244 3.4244 3.4244 0.0000" Properties=species:S:1:pos:R:3 pbc="T T T"
Ba 0.0000 0.0000 0.0000
Hf 3.4244 3.4244 3.4244
Re 1.7122 1.7122 1.7122
```

Properties
symmetry	F-43m, No. 216
theoretical density	10.4	g/cm3
calculated volume	26.772	A^3/atom

***

ii.
The following is a DFT calculation (GGA-PBE) of a relaxed structure of BaHfRe.

```
3
Lattice="0.0000 3.3777 3.3777 3.3777 0.0000 3.3777 3.3777 3.3777 0.0000" Properties=species:S:1:pos:R:3 pbc="T T T"
Ba 0.0000 0.0000 0.0000
Hf 5.0665 5.0665 5.0665
Re 1.6888 1.6888 1.6888
```

Properties
symmetry	F-43m, No. 216
theoretical density	10.8	g/cm3
calculated volume	25.690	A^3/atom

***

Stability, descending: i, ii

***

i.
The following is a DFT calculation (GGA-PBE) of a relaxed structure of BaHfSn.

```
3
Lattice="0.0000 3.8004 3.8004 3.8004 0.0000 3.8004 3.8004 3.8004 0.0000" Properties=species:S:1:pos:R:3 pbc="T T T"
Ba 0.0000 0.0000 0.0000
Hf 5.7006 5.7006 5.7006
Sn 1.9002 1.9002 1.9002
```

Properties
symmetry	F-43m, No. 216
theoretical density	6.6	g/cm3
calculated volume	36.593	A^3/atom

***

ii.
The following is a DFT calculation (GGA-PBE) of a relaxed structure of BaHfSn.

```
3
Lattice="0.0000 3.7487 3.7487 3.7487 0.0000 3.7487 3.7487 3.7487 0.0000" Properties=species:S:1:pos:R:3 pbc="T T T"
Ba 0.0000 0.0000 0.0000
Hf 3.7487 3.7487 3.7487
Sn 1.8744 1.8744 1.8744
```

Properties
symmetry	F-43m, No. 216
theoretical density	6.8	g/cm3
calculated volume	35.120	A^3/atom

***

Stability, descending: ii, i

***

i.
The following is a DFT calculation (GGA-PBE) of a relaxed structure of BaHfW.

```
3
Lattice="0.0000 3.4441 3.4441 3.4441 0.0000 3.4441 3.4441 3.4441 0.0000" Properties=species:S:1:pos:R:3 pbc="T T T"
Ba 0.0000 0.0000 0.0000
Hf 3.4441 3.4441 3.4441
W 1.7221 1.7221 1.7221
```

Properties
symmetry	F-43m, No. 216
theoretical density	10.2	g/cm3
calculated volume	27.236	A^3/atom

***

ii.
The following is a DFT calculation (GGA-PBE) of a relaxed structure of BaHfW.

```
3
Lattice="0.0000 3.3984 3.3984 3.3984 0.0000 3.3984 3.3984 3.3984 0.0000" Properties=species:S:1:pos:R:3 pbc="T T T"
Ba 0.0000 0.0000 0.0000
Hf 5.0976 5.0976 5.0976
W 1.6992 1.6992 1.6992
```

Properties
symmetry	F-43m, No. 216
theoretical density	10.6	g/cm3
calculated volume	26.166	A^3/atom

***

Stability, descending: i, ii

***

i.
The following is a DFT calculation (GGA-PBE) of a relaxed structure of BaHfZn.

```
6
Lattice="3.5658 0.0000 0.0000 0.0000 3.5658 0.0000 0.0000 0.0000 13.1452" Properties=species:S:1:pos:R:3 pbc="T T T"
Ba 0.0000 0.0000 2.3363
Ba 0.0000 0.0000 10.8089
Hf 1.7829 1.7829 5.1224
Hf 1.7829 1.7829 8.0227
Zn 0.0000 0.0000 6.5726
Zn 1.7829 1.7829 0.0000
```

Properties
symmetry	P4/mmm, No. 123
theoretical density	7.6	g/cm3
calculated volume	27.856	A^3/atom

***

ii.
The following is a DFT calculation (GGA-PBE) of a relaxed structure of BaHfZn.

```
3
Lattice="0.0000 3.5239 3.5239 3.5239 0.0000 3.5239 3.5239 3.5239 0.0000" Properties=species:S:1:pos:R:3 pbc="T T T"
Ba 0.0000 0.0000 0.0000
Hf 1.7619 1.7619 1.7619
Zn 3.5239 3.5239 3.5239
```

Properties
symmetry	F-43m, No. 216
theoretical density	7.2	g/cm3
calculated volume	29.172	A^3/atom

***

Stability, descending: i, ii